This record from the Alexandria database describes a crystal of BaVP2H4O10 relaxed with PBEsol. The functional is meta-GGA SCAN.

Computed properties:
The density of states at the Fermi level is 0.000 states/eV/atom. As for the total energy: -776.8 eV/cell. For the total magnetization, the calculation gives 4.00 μB/cell.

Cell lengths 10.844, 6.413, 13.949 Å; angles 90.00, 127.47, 90.00 degrees
Space group P2_1/c (No. 14)
One atom of each set of equivalent atoms:
Ba  0.207  0.135  0.055
V  0.188  0.021  0.320
P  0.159  0.505  0.263
P  0.461  0.618  0.115
H  0.067  0.660  0.948
H  0.140  0.641  0.087
H  0.351  0.664  0.468
H  0.374  0.576  0.226
O  0.019  0.015  0.339
O  0.071  0.011  0.173
O  0.086  0.742  0.017
O  0.201  0.176  0.851
O  0.218  0.705  0.343
O  0.235  0.021  0.699
O  0.327  0.020  0.519
O  0.379  0.037  0.336
O  0.431  0.654  0.562
O  0.467  0.641  0.231